Record 1
As2PtPb: optimized geometry, PBE-GGA.

The structure in CIF format:
```
data_As2PtPb
_symmetry_space_group_name_H-M 'I -4 2 d'
_symmetry_Int_Tables_number 122
_symmetry_space_group_name_Hall 'I -4 2bw'
_cell_length_a 6.055
_cell_length_b 6.055
_cell_length_c 12.152
_cell_angle_alpha 90.00
_cell_angle_beta 90.00
_cell_angle_gamma 90.00
loop_
_atom_site_label
_atom_site_type_symbol
_atom_site_fract_x
_atom_site_fract_y
_atom_site_fract_z
As1 As 0.189 0.250 0.125
Pt1 Pt 0.000 0.000 0.000
Pb1 Pb 0.000 0.000 0.500
```

Record 2
AlTl2Pb: optimized geometry, PBE-GGA.

The structure in CIF format:
```
data_AlTl2Pb
_symmetry_space_group_name_H-M 'I m m 2'
_symmetry_Int_Tables_number 44
_cell_length_a 3.506
_cell_length_b 5.673
_cell_length_c 11.344
_cell_angle_alpha 90.00
_cell_angle_beta 90.00
_cell_angle_gamma 90.00
loop_
_symmetry_equiv_pos_as_xyz
'x,y,z'
'-x,-y,z'
'-x,y,z'
'x,-y,z'
'x+1/2,y+1/2,z+1/2'
'-x+1/2,-y+1/2,z+1/2'
'-x+1/2,y+1/2,z+1/2'
'x+1/2,-y+1/2,z+1/2'
loop_
_atom_site_label
_atom_site_type_symbol
_atom_site_fract_x
_atom_site_fract_y
_atom_site_fract_z
Al1 Al 0.000 0.000 0.000
Tl1 Tl 0.000 0.000 0.499
Tl2 Tl 0.000 0.500 0.277
Pb1 Pb 0.000 0.500 0.720
```

In order of appearance, energy relative to the elements = -0.0781, 0.1740 eV per atom.